The following is a DFT calculation (PBE with a Hubbard U) of crystalline SrCoTeO at its relaxed geometry.

Lattice parameters (Å, degrees): 6.438 4.237 13.853 90.00 90.00 90.00
Element x y z (fractional)
Sr1 0.240 0.250 0.106
Sr2 0.260 0.750 0.606
Sr3 0.740 0.250 0.394
Sr4 0.760 0.750 0.894
Co1 0.126 0.250 0.801
Co2 0.374 0.750 0.301
Co3 0.626 0.250 0.699
Co4 0.874 0.750 0.199
Te1 0.243 0.250 0.405
Te2 0.257 0.750 0.905
Te3 0.743 0.250 0.095
Te4 0.757 0.750 0.595
O1 0.184 0.750 0.192
O2 0.316 0.250 0.692
O3 0.684 0.750 0.308
O4 0.816 0.250 0.808

Results
raw total energy	-5.080	eV/atom